Entry 1:
HgMoS2N, optimized geometry, DFT PBEsol; raw formation energy = 1.633 kcal/mol of atoms; space-group type = P4/mmm
1.0
3.767 0.000 0.000
0.000 4.799 0.000
0.000 0.000 4.799
S Mo Hg N
2 1 1 1
Cartesian
0.000 0.000 2.400
0.000 2.400 0.000
0.000 0.000 0.000
1.884 2.400 2.400
1.884 0.000 0.000

=====

Entry 2:
BeW3Se, optimized geometry, DFT PBEsol; raw formation energy = 29.758 kcal/mol of atoms; space-group type = Pm-3m
1.0
-1.455 -0.131 3.995
3.595 -1.900 1.247
1.746 3.803 0.760
Be Se W
1 1 3
Cartesian
0.000 0.000 0.000
1.943 0.886 3.001
1.798 -0.950 0.623
0.873 1.902 0.380
-0.727 -0.065 1.997

=====

Entry 3:
Pr3WCl3O6, optimized geometry, DFT PBEsol; raw formation energy = -65.758 kcal/mol of atoms; space-group type = P6_3/m
1.0
5.347 0.000 0.000
0.000 9.267 0.000
0.000 -4.634 8.026
Pr W Cl O
6 2 6 12
Cartesian
1.337 6.973 2.503
1.337 3.613 4.788
4.010 1.319 7.291
1.337 3.315 0.735
4.010 1.020 3.238
4.010 -2.340 5.523
1.337 0.000 5.351
4.010 4.634 2.675
4.010 1.995 0.394
4.010 3.977 6.101
1.337 0.657 1.925
4.010 7.929 1.531
1.337 -3.295 6.495
1.337 2.639 7.632
5.250 3.168 2.907
0.096 1.465 5.119
2.577 -0.934 4.197
2.770 5.166 1.290
5.250 5.567 3.828
2.577 1.465 5.119
2.770 5.567 3.828
5.250 5.166 1.290
0.096 -0.934 4.197
2.770 3.168 2.907
0.096 -0.532 6.736
2.577 -0.532 6.736

=====

Entry 4:
Ca5Cu, optimized geometry, DFT PBEsol; space-group type = C2/m; formation enthalpy at 0 K = 17 kJ/mol of formula units
1.0
-1.779 -0.713 3.188
-2.616 -4.156 -4.559
7.766 -3.369 3.578
Ca Cu
5 1
Cartesian
-0.418 -0.690 -0.388
0.766 -3.423 1.832
3.732 -5.439 0.865
-1.217 -3.914 -1.554
4.530 -2.217 2.031
4.652 -5.106 3.623

=====

Entry 5:
Te2IrAu, optimized geometry, DFT PBEsol; raw formation energy = 4.569 kcal/mol of atoms; space-group type = I-42d
1.0
-3.530 -4.819 1.791
2.328 -3.435 -4.656
4.692 2.371 4.773
Te Ir Au
4 2 2
Cartesian
1.802 -4.335 -2.167
-0.959 -4.797 0.971
3.424 0.665 3.111
2.712 -3.299 1.900
0.280 -3.288 2.565
-0.601 -4.127 -1.433
3.209 -2.595 -0.658
0.000 0.000 0.000

=====

Entry 6:
Ti3H3Au, optimized geometry, DFT PBEsol; space-group type = Pm-3n; total energy = -84.725 eV/cell
1.0
5.216 0.000 0.000
0.000 5.216 0.000
0.000 0.000 5.216
Ti H Au
6 6 2
Cartesian
0.000 2.608 3.912
2.608 1.304 0.000
3.912 0.000 2.608
0.000 2.608 1.304
2.608 3.912 0.000
1.304 0.000 2.608
2.608 0.000 3.912
0.000 1.304 2.608
3.912 2.608 0.000
2.608 0.000 1.304
0.000 3.912 2.608
1.304 2.608 0.000
2.608 2.608 2.608
0.000 0.000 0.000

=====

Entry 7:
BaSr, optimized geometry, DFT PBEsol; space-group type = Pmma; formation enthalpy at 0 K = 2 kJ/mol of formula units
1.0
4.248 0.000 0.000
0.000 7.030 0.000
0.000 0.000 7.397
Sr Ba
2 2
Cartesian
2.124 1.758 6.162
2.124 5.273 1.235
0.000 1.758 2.461
0.000 5.273 4.937

=====

Entry 8:
RbLiZnRu2, optimized geometry, DFT PBEsol; space-group type = P4/mmm; formation enthalpy at 0 K = 709 kJ/mol of formula units
1.0
-3.743 2.248 0.824
-2.180 -3.832 0.553
1.027 0.064 4.490
Ru Zn Rb Li
2 1 1 1
Cartesian
-1.090 -1.916 0.276
-1.872 1.124 0.412
0.513 0.032 2.245
-2.448 -0.760 2.933
0.000 0.000 0.000

=====

Entry 9:
La4S3NCl3, optimized geometry, DFT PBEsol; raw formation energy = -52.158 kcal/mol of atoms; space-group type = P6_3mc
1.0
6.923 0.000 0.000
0.000 9.315 0.000
0.000 -4.657 8.067
La S N Cl
8 6 2 6
Cartesian
1.722 1.858 6.451
1.722 -1.858 6.451
5.482 0.000 5.378
5.184 6.515 1.616
5.184 4.657 4.834
5.184 2.799 1.616
1.722 0.000 3.233
2.020 4.657 2.689
3.666 1.909 4.276
3.666 -1.909 4.276
0.205 6.566 3.791
0.205 2.748 3.791
0.205 4.657 0.485
3.666 0.000 7.582
0.942 0.000 5.378
4.403 4.657 2.689
2.463 1.850 1.068
5.925 -2.808 6.999
2.463 7.465 1.068
5.925 2.808 6.999
2.463 4.657 5.931
5.925 0.000 2.136

=====

Entry 10:
Zr2IrRh, optimized geometry, DFT PBEsol; space-group type = P4/mmm; formation enthalpy at 0 K = -294 kJ/mol of formula units
1.0
-2.503 1.878 -0.929
-1.994 -1.691 1.954
1.276 4.104 4.855
Ir Rh Zr
1 1 2
Cartesian
-2.249 0.093 0.512
-1.611 2.145 2.940
0.958 3.079 3.643
0.319 1.025 1.212

=====

Entry 11:
BaAs, optimized geometry, DFT PBEsol; space-group type = Fd-3m; formation enthalpy at 0 K = -71 kJ/mol of formula units
1.0
-4.123 -2.906 -2.102
0.960 -4.912 -2.194
-1.736 -4.515 2.543
As Ba
2 2
Cartesian
-2.449 -6.167 -0.877
-3.674 -9.250 -1.315
0.000 0.000 0.000
-1.225 -3.083 -0.438

=====

Entry 12:
YNbGa3, optimized geometry, DFT PBEsol; space-group type = Pm-3m; formation enthalpy at 0 K = 13 kJ/mol of formula units
1.0
-1.505 -4.400 -1.405
4.606 -1.322 -0.796
0.339 -1.579 4.581
Y Nb Ga
1 1 3
Cartesian
1.720 -3.650 1.190
0.000 0.000 0.000
2.303 -0.661 -0.398
0.169 -0.789 2.291
-0.753 -2.200 -0.702